# 1
Compound: TbSm6Dy2Y3
Source: Alexandria
Functional: PBE
Structure: relaxed

Cell: 6.2324 6.2324 11.8619 Å, 95.01 95.01 119.98°
Positions (direct):
Sm 0.0834 0.4168 0.2493
Sm 0.4168 0.0834 0.2493
Sm 0.7500 0.7500 0.2493
Sm 0.5832 0.9166 0.7507
Sm 0.9166 0.5832 0.7507
Sm 0.2500 0.2500 0.7507
Tb 0.0000 0.0000 0.0000
Y 0.5000 0.5000 0.5000
Y 0.8332 0.1668 0.5000
Y 0.1668 0.8332 0.5000
Dy 0.6666 0.3334 0.0000
Dy 0.3334 0.6666 0.0000

**Fermi-level density of states**: 15.13 states/eV/f.u.
**Electronic total energy**: -5.12 eV/atom

# 2
Compound: Si2SnRhO
Source: Alexandria
Functional: PBE
Structure: relaxed

Cell: 4.4412 4.4867 4.7571 Å, 89.13 88.86 61.19°
Positions (direct):
Rh 0.3501 0.6500 0.4230
O 0.0558 0.3485 0.8831
Si 0.2556 0.5926 0.9090
Si 0.0001 0.3024 0.5388
Sn 0.6782 0.9930 0.2366

**Fermi-level density of states**: 2.14 states/eV/f.u.
**Formation energy (no corrections)**: -0.715 eV per atom

# 3
Compound: GaFe2Pd5
Source: Alexandria
Functional: PBE
Structure: relaxed

Cell: 4.0645 5.4318 10.5961 Å, 90.00 90.00 90.00°
Each line ends with the local moment (μB).
Positions (direct):
Fe 0.5000 0.3162 0.3618  3.21
Fe 0.5000 0.8162 0.1382  3.21
Fe 0.5000 0.6838 0.6382  3.21
Fe 0.5000 0.1838 0.8618  3.21
Ga 0.0000 0.5000 0.0000  -0.02
Ga 0.0000 0.0000 0.5000  -0.02
Pd 0.0000 0.5738 0.2413  0.27
Pd 0.5000 0.8093 0.3907  0.21
Pd 0.0000 0.0738 0.2587  0.27
Pd 0.5000 0.3093 0.1093  0.21
Pd 0.5000 0.6907 0.8907  0.21
Pd 0.0000 0.4262 0.7587  0.27
Pd 0.0000 0.0000 0.0000  0.24
Pd 0.5000 0.1907 0.6093  0.21
Pd 0.0000 0.9262 0.7413  0.27
Pd 0.0000 0.5000 0.5000  0.24

**Fermi-level density of states**: 9.07 states/eV/f.u.
**Electronic total energy**: -5.97 eV/atom

# 4
Compound: BeAlCd2
Source: Alexandria
Functional: PBE
Structure: relaxed

Cell: 4.1884 3.4581 5.3623 Å, 70.73 90.00 90.00°
Positions (direct):
Be 0.5000 0.5631 0.7579
Al 0.0000 0.6840 0.5055
Cd 0.5000 0.2965 0.2864
Cd 0.0000 0.9564 0.9502

**Fermi-level density of states**: 0.95 states/eV/f.u.
**Electronic total energy**: -2.00 eV/atom

# 5
Compound: BaLiAsS4
Source: Alexandria
Functional: PBE
Structure: relaxed

Cell: 6.4225 6.9998 8.2982 Å, 90.00 105.42 90.00°
Positions (direct):
S 0.6614 0.2500 0.9111
S 0.4739 0.7500 0.5523
S 0.3386 0.7500 0.0889
S 0.0004 0.0082 0.7159
S 0.5261 0.2500 0.4477
S 0.0004 0.4918 0.7159
S 0.9996 0.5082 0.2841
S 0.9996 0.9918 0.2841
As 0.2290 0.7500 0.3199
As 0.7710 0.2500 0.6801
Li 0.1721 0.2500 0.5173
Li 0.8279 0.7500 0.4827
Ba 0.2344 0.2500 0.0555
Ba 0.7656 0.7500 0.9445

**Formation energy (no corrections)**: -0.914 eV per atom

# 6
Compound: Pa4Tc3
Source: Alexandria
Functional: PBE
Structure: relaxed

Cell: 7.9691 7.9691 7.9691 Å, 59.91 59.91 59.91°
Positions (direct):
Pa 0.2575 0.2575 0.2575
Pa 0.2573 0.2573 0.7282
Pa 0.7425 0.7425 0.7425
Pa 0.7427 0.7427 0.2718
Pa 0.7427 0.2718 0.7427
Pa 0.7282 0.2573 0.2573
Pa 0.2573 0.7282 0.2573
Pa 0.2718 0.7427 0.7427
Tc 0.5000 0.0000 0.5000
Tc 0.8747 0.8747 0.8747
Tc 0.0000 0.5000 0.5000
Tc 0.1253 0.1253 0.1253
Tc 0.5000 0.5000 0.0000
Tc 0.5000 0.5000 0.5000

**Fermi-level density of states**: 8.46 states/eV/f.u.
**Electronic total energy**: -9.67 eV/atom

# 7
Compound: HfBN
Source: Alexandria
Functional: PBE
Structure: relaxed

Cell: 6.3475 4.5617 5.4133 Å, 90.00 109.74 90.00°
Positions (direct):
Hf 0.0000 0.2651 0.0000
Hf 0.5000 0.7136 0.0000
Hf 0.0000 0.7651 0.5000
Hf 0.5000 0.2136 0.5000
B 0.6385 0.2138 0.0752
B 0.3615 0.2138 0.9248
B 0.6385 0.7138 0.5752
B 0.3615 0.7138 0.4248
N 0.1887 0.9799 0.8440
N 0.1887 0.4799 0.3440
N 0.8113 0.4799 0.6560
N 0.8113 0.9799 0.1560

**Fermi-level density of states**: 0.03 states/eV/f.u.
**Formation energy (no corrections)**: -0.795 eV per atom

# 8
Compound: NaSn5Pb
Source: Alexandria
Functional: PBE
Structure: relaxed

Cell: 6.4475 8.2017 8.2017 Å, 94.41 100.00 100.00°
Positions (direct):
Na 0.5000 0.0000 0.0000
Na 0.0000 0.0000 0.0000
Sn 0.1149 0.8953 0.6235
Sn 0.3851 0.3765 0.1047
Sn 0.8968 0.3699 0.1164
Sn 0.7500 0.2943 0.7057
Sn 0.1032 0.6301 0.8836
Sn 0.8851 0.1047 0.3765
Sn 0.2500 0.7057 0.2943
Sn 0.6032 0.8836 0.6301
Sn 0.3968 0.1164 0.3699
Sn 0.6149 0.6235 0.8953
Pb 0.7500 0.5758 0.4242
Pb 0.2500 0.4242 0.5758

**Fermi-level density of states**: 2.75 states/eV/f.u.
**Electronic total energy**: -3.54 eV/atom

What did the third record say?
Compound: GaFe2Pd5
Source: Alexandria
Functional: PBE
Structure: relaxed

Cell: 4.0645 5.4318 10.5961 Å, 90.00 90.00 90.00°
Each line ends with the local moment (μB).
Positions (direct):
Fe 0.5000 0.3162 0.3618  3.21
Fe 0.5000 0.8162 0.1382  3.21
Fe 0.5000 0.6838 0.6382  3.21
Fe 0.5000 0.1838 0.8618  3.21
Ga 0.0000 0.5000 0.0000  -0.02
Ga 0.0000 0.0000 0.5000  -0.02
Pd 0.0000 0.5738 0.2413  0.27
Pd 0.5000 0.8093 0.3907  0.21
Pd 0.0000 0.0738 0.2587  0.27
Pd 0.5000 0.3093 0.1093  0.21
Pd 0.5000 0.6907 0.8907  0.21
Pd 0.0000 0.4262 0.7587  0.27
Pd 0.0000 0.0000 0.0000  0.24
Pd 0.5000 0.1907 0.6093  0.21
Pd 0.0000 0.9262 0.7413  0.27
Pd 0.0000 0.5000 0.5000  0.24

**Fermi-level density of states**: 9.07 states/eV/f.u.
**Electronic total energy**: -5.97 eV/atom